DFT (GGA-PBE) results for a relaxed structure of TbSi2Os.

Cell: 4.0851 6.9747 9.9317 Å, 90.00 90.00 90.00°
Fractional positions:
Si (0.7500, 0.6990, 0.0768)
Tb (0.7500, 0.6536, 0.3742)
Si (0.7500, 0.6484, 0.6842)
Si (0.7500, 0.1990, 0.4232)
Tb (0.2500, 0.8464, 0.8742)
Tb (0.2500, 0.3464, 0.6258)
Si (0.2500, 0.8516, 0.1842)
Os (0.7500, 0.9834, 0.6099)
Si (0.7500, 0.1484, 0.8158)
Os (0.7500, 0.4834, 0.8901)
Tb (0.7500, 0.1536, 0.1258)
Si (0.2500, 0.3516, 0.3158)
Os (0.2500, 0.0166, 0.3901)
Si (0.2500, 0.8010, 0.5768)
Si (0.2500, 0.3010, 0.9232)
Os (0.2500, 0.5166, 0.1099)

Results
Formation energy without anion corrections = -0.709 eV/atom
Space-group type = Pnma, No. 62
Crystal system = orthorhombic
Fermi-level density of states = 5.84 states/eV/cell